# 1
TaFeAu2 | PBE | optimized geometry

Structure (POSCAR):
```
TaFeAu2
1.0
2.822 0.000 0.000
0.000 2.822 0.000
0.000 0.000 8.299
Au Fe Ta
2 1 1
direct
0.000 0.000 0.993
0.500 0.500 0.272
0.000 0.000 0.499
0.500 0.500 0.736
```

Values from the calculation:
Total DFT energy (no corrections) = -26.7 eV/cell
Calculated density = 15.85 g/cm³
Calculated formation energy = 0.05 eV per atom
E above lowest polymorph = 0.13 eV/f.u.



# 2
HgPPb2 | PBE | optimized geometry

Structure (POSCAR):
```
HgPPb2
1.0
-2.940 1.491 -1.192
0.736 -2.837 -1.923
-4.991 -5.216 5.784
Hg P Pb
1 1 2
direct
0.000 0.000 0.535
0.500 0.500 0.741
0.000 0.000 0.952
0.500 0.500 0.272
```

Values from the calculation:
Total DFT energy (no corrections) = -12.0 eV/cell
Calculated density = 10.01 g/cm³
Calculated formation energy = 0.29 eV per atom
E above lowest polymorph = 1.01 eV/f.u.



# 3
NaNdH2 | PBE | optimized geometry

Structure (POSCAR):
```
NaNdH2
1.0
-0.446 0.612 3.686
-2.224 -2.260 2.026
3.868 -4.175 3.082
Na Nd H
1 1 2
direct
0.500 0.500 0.500
0.000 0.000 0.000
0.714 0.714 0.857
0.286 0.286 0.143
```

Values from the calculation:
Total DFT energy (no corrections) = -13.9 eV/cell
Calculated density = 3.76 g/cm³



# 4
LaMoPb3 | PBE | optimized geometry

Structure (POSCAR):
```
LaMoPb3
1.0
5.391 0.000 0.000
0.000 5.391 0.000
0.000 0.000 5.391
Pb Mo La
3 1 1
direct
0.000 0.500 0.000
0.000 0.000 0.500
0.500 0.000 0.000
0.000 0.000 0.000
0.500 0.500 0.500
```

Values from the calculation:
Total DFT energy (no corrections) = -25.4 eV/cell
Calculated density = 9.08 g/cm³
Calculated formation energy = 0.30 eV per atom
E above lowest polymorph = 0.00 eV/f.u.



# 5
Ca2TaCrGa | PBE | optimized geometry

Structure (POSCAR):
```
Ca2TaCrGa
1.0
5.364 0.000 0.000
0.000 4.989 0.000
0.000 0.000 5.364
Cr Ca Ga Ta
1 2 1 1
direct
0.500 0.500 0.500
0.000 0.000 0.500
0.500 0.000 0.000
0.000 0.000 0.000
0.000 0.500 0.000
```

Values from the calculation:
Total DFT energy (no corrections) = -21.6 eV/cell
Calculated density = 4.43 g/cm³
Calculated formation energy = 1.39 eV per atom



# 6
YAlIr | PBE | optimized geometry

Structure (POSCAR):
```
YAlIr
1.0
-2.823 3.237 -0.255
-0.731 -3.665 -2.132
-1.868 -1.390 3.031
Y Ir Al
1 1 1
direct
0.333 0.667 0.667
0.667 0.333 0.167
0.000 0.000 0.167
```

Values from the calculation:
Total DFT energy (no corrections) = -21.3 eV/cell
Calculated density = 8.35 g/cm³
Calculated formation energy = -0.75 eV per atom